First-principles (PBE-GGA) data for crystalline LiHgBF6 at its relaxed geometry, as listed in Alexandria.

Lattice parameters (Å, degrees): 4.7153 5.3757 5.8980 89.15 87.79 64.00
Element x y z (fractional)
Li: 0.0000 0.0000 0.0000
Hg: 0.5193 0.9605 0.5001
B: 0.2870 0.4253 0.0011
F: 0.0297 0.5922 0.1442
F: 0.1881 0.9702 0.2935
F: 0.1922 0.2531 0.8710
F: 0.3767 0.5933 0.8591
F: 0.5546 0.2527 0.1298
F: 0.8421 0.9672 0.7069

energy relative to the elements, uncorrected = -2.397 eV per atom
space-group type = P1, No. 1

---

First-principles (PBE-GGA) data for crystalline Li2YZr at its relaxed geometry, as listed in Alexandria.

Lattice parameters (Å, degrees): 3.0960 3.0960 10.6532 90.00 90.00 112.92
Element x y z (fractional)
Li: 0.0000 0.0000 0.2421
Li: 0.0000 0.0000 0.7579
Y: 0.5000 0.5000 0.5000
Zr: 0.5000 0.5000 0.0000

energy relative to the elements = 0.29 eV/atom
space-group type = Cmmm, No. 65
offset from the most stable computed form = 59 kJ/mol of formula units

---

First-principles (PBE-GGA) data for crystalline SrEuMg2 at its relaxed geometry, as listed in Alexandria.

Lattice parameters (Å, degrees): 5.8005 5.8005 5.8005 60.00 60.00 60.00
Element x y z (fractional)
Sr: 0.0000 0.0000 0.0000
Eu: 0.5000 0.5000 0.5000
Mg: 0.2500 0.2500 0.2500
Mg: 0.7500 0.7500 0.7500

energy relative to the elements = -0.06 eV/atom
space-group type = Fm-3m, No. 225
offset from the most stable computed form = 3 kJ/mol of formula units

---

| no. | E_tot (eV per atom) | total magnetic moment (μB/cell) |
| --- | --- | --- |
| 1 | -4.633 | 0.11 |
| 2 | -4.420 | 0.00 |
| 3 | -3.850 | 7.37 |